# BeNiO (PBE with a Hubbard U, optimized geometry)
data_BeNiO
_chemical_formula_sum 'Be2 Ni2 O2'
_cell_length_a 4.5732
_cell_length_b 2.6370
_cell_length_c 6.3430
_cell_angle_alpha 77.97
_cell_angle_beta 68.82
_cell_angle_gamma 90.00
_space_group_name_H-M_alt 'P 1'
_space_group_IT_number 1
_space_group_name_Hall 'P 1'
loop_
_atom_site_label
_atom_site_type_symbol
_atom_site_fract_x
_atom_site_fract_y
_atom_site_fract_z
_atom_site_occupancy
Be1 Be 0.5511 0.4226 0.6366 1
Ni1 Ni 0.6259 0.1756 0.1283 1
O1 O 0.9039 0.4436 0.5945 1
O2 O 0.3722 0.9118 0.6580 1
Ni2 Ni 0.1235 0.6725 0.1346 1
Be2 Be 0.0619 0.9327 0.6163 1
# * SG: Cm, No. 8
# * final energy: -4.975 eV/atom